# CsErI4, optimized geometry, DFT PBE-GGA
# Calculated total energy in Ha/atom: -0.1244
data_CsErI4
_cell_length_a 11.548
_cell_length_b 17.911
_cell_length_c 7.872
_cell_angle_alpha 90.00
_cell_angle_beta 105.44
_cell_angle_gamma 90.00
_space_group_name_H-M_alt 'C 1 2/c 1'
_space_group_IT_number 15
loop_
_space_group_symop_operation_xyz
'x,y,z'
'-x,-y,-z'
'-x,y,-z+1/2'
'x,-y,z+1/2'
'x+1/2,y+1/2,z'
'-x+1/2,-y+1/2,-z'
'-x+1/2,y+1/2,-z+1/2'
'x+1/2,-y+1/2,z+1/2'
loop_
_atom_site_label
_atom_site_fract_x
_atom_site_fract_y
_atom_site_fract_z
_atom_site_occupancy
Cs1 0.000 0.246 0.250 1
Er1 0.000 0.434 0.750 1
I1 0.149 0.442 0.135 1
I2 0.172 0.320 0.701 1

# MnCo12B4, optimized geometry, DFT PBE-GGA
# Energy of formation from the pure elements in eV per atom: 0.131
data_MnCo12B4
_cell_length_a 7.085
_cell_length_b 7.085
_cell_length_c 7.085
_cell_angle_alpha 90.00
_cell_angle_beta 90.00
_cell_angle_gamma 90.00
_space_group_name_H-M_alt 'I m -3'
_space_group_IT_number 204
_space_group_name_Hall '-I 2 2 3'
loop_
_atom_site_label
_atom_site_fract_x
_atom_site_fract_y
_atom_site_fract_z
_atom_site_occupancy
Mn1 0.000 0.000 0.000 1
Co1 0.000 0.165 0.331 1
B1 0.250 0.250 0.250 1

# Al4CuNi7, optimized geometry, DFT PBE-GGA
# Energy of formation from the pure elements in eV per atom: -0.166
data_Al4CuNi7
_cell_length_a 9.317
_cell_length_b 4.335
_cell_length_c 8.738
_cell_angle_alpha 90.00
_cell_angle_beta 118.70
_cell_angle_gamma 90.00
_space_group_name_H-M_alt 'C 1 2/m 1'
_space_group_IT_number 12
loop_
_space_group_symop_operation_xyz
'x,y,z'
'-x,-y,-z'
'-x,y,-z'
'x,-y,z'
'x+1/2,y+1/2,z'
'-x+1/2,-y+1/2,-z'
'-x+1/2,y+1/2,-z'
'x+1/2,-y+1/2,z'
loop_
_atom_site_label
_atom_site_fract_x
_atom_site_fract_y
_atom_site_fract_z
_atom_site_occupancy
Al1 0.096 0.000 0.276 1
Al2 0.249 0.000 0.824 1
Cu1 0.000 0.500 0.500 1
Ni1 0.000 0.000 0.500 1
Ni2 0.063 0.500 0.837 1
Ni3 0.138 0.000 0.019 1
Ni4 0.210 0.500 0.419 1

# Y4TeS3, optimized geometry, DFT PBE-GGA
# Calculated total energy in Ha/atom: -0.2579
data_Y4TeS3
_cell_length_a 3.9852
_cell_length_b 3.9852
_cell_length_c 26.9176
_cell_angle_alpha 90.00
_cell_angle_beta 90.00
_cell_angle_gamma 120.00
_space_group_name_H-M_alt 'P 63/m m c'
_space_group_IT_number 194
_space_group_name_Hall '-P 6c 2c'
loop_
_atom_site_label
_atom_site_fract_x
_atom_site_fract_y
_atom_site_fract_z
_atom_site_occupancy
Y1 0.0000 0.0000 0.1722 1
Y2 0.3333 0.6667 0.0615 1
Te1 0.3333 0.6667 0.2500 1
S1 0.0000 0.0000 0.0000 1
S2 0.3333 0.6667 0.6167 1

# NaAc2Tl4, optimized geometry, DFT PBE-GGA
# Energy of formation from the pure elements in eV per atom: 0.009
data_NaAc2Tl4
_cell_length_a 5.310
_cell_length_b 5.310
_cell_length_c 17.345
_cell_angle_alpha 90.00
_cell_angle_beta 90.00
_cell_angle_gamma 90.00
_space_group_name_H-M_alt 'I 4/m m m'
_space_group_IT_number 139
_space_group_name_Hall '-I 4 2'
loop_
_atom_site_label
_atom_site_fract_x
_atom_site_fract_y
_atom_site_fract_z
_atom_site_occupancy
Na1 0.000 0.000 0.000 1
Ac1 0.000 0.000 0.362 1
Tl1 0.000 0.000 0.168 1
Tl2 0.000 0.500 0.000 1

# AcCeErTl, optimized geometry, DFT PBE-GGA
# Energy of formation from the pure elements in eV per atom: 0.077
data_AcCeErTl
_cell_length_a 7.939
_cell_length_b 7.939
_cell_length_c 7.939
_cell_angle_alpha 90.00
_cell_angle_beta 90.00
_cell_angle_gamma 90.00
_space_group_name_H-M_alt 'F -4 3 m'
_space_group_IT_number 216
_space_group_name_Hall 'F -4 2 3'
loop_
_atom_site_label
_atom_site_fract_x
_atom_site_fract_y
_atom_site_fract_z
_atom_site_occupancy
Ac1 0.000 0.000 0.000 1
Ce1 0.250 0.250 0.750 1
Er1 0.250 0.250 0.250 1
Tl1 0.000 0.000 0.500 1

# TmScI6, optimized geometry, DFT PBE-GGA
# Calculated total energy in Ha/atom: -0.1381
data_TmScI6
_cell_length_a 7.247
_cell_length_b 14.740
_cell_length_c 7.248
_cell_angle_alpha 90.00
_cell_angle_beta 108.66
_cell_angle_gamma 90.00
_space_group_name_H-M_alt 'C 1 2/m 1'
_space_group_IT_number 12
loop_
_space_group_symop_operation_xyz
'x,y,z'
'-x,-y,-z'
'-x,y,-z'
'x,-y,z'
'x+1/2,y+1/2,z'
'-x+1/2,-y+1/2,-z'
'-x+1/2,y+1/2,-z'
'x+1/2,-y+1/2,z'
loop_
_atom_site_label
_atom_site_fract_x
_atom_site_fract_y
_atom_site_fract_z
_atom_site_occupancy
Tm1 0.000 0.000 0.000 1
Sc1 0.000 0.500 0.500 1
I1 0.242 0.360 0.742 1
I2 0.246 0.500 0.254 1

# Cs4SnCl5, optimized geometry, DFT PBE-GGA
# Calculated total energy in Ha/atom: -0.1185
data_Cs4SnCl5
_cell_length_a 10.743
_cell_length_b 10.743
_cell_length_c 7.205
_cell_angle_alpha 90.00
_cell_angle_beta 90.00
_cell_angle_gamma 90.00
_space_group_name_H-M_alt 'I 4'
_space_group_IT_number 79
loop_
_space_group_symop_operation_xyz
'x,y,z'
'-y,x,z'
'-x,-y,z'
'y,-x,z'
'x+1/2,y+1/2,z+1/2'
'-y+1/2,x+1/2,z+1/2'
'-x+1/2,-y+1/2,z+1/2'
'y+1/2,-x+1/2,z+1/2'
loop_
_atom_site_label
_atom_site_fract_x
_atom_site_fract_y
_atom_site_fract_z
_atom_site_occupancy
Cs1 0.093 0.293 0.000 1
Sn1 0.000 0.000 0.504 1
Cl1 0.000 0.000 0.009 1
Cl2 0.088 0.270 0.502 1

Number 1: spin magnetization 0.0 Bohr magnetons per cell. Number 2: spin magnetization 35.5 Bohr magnetons per cell. Number 3: spin magnetization 0.0 Bohr magnetons per cell. Number 4: spin magnetization 0.0 Bohr magnetons per cell. Number 5: spin magnetization 0.0 Bohr magnetons per cell. Number 6: spin magnetization 4.7 Bohr magnetons per cell. Number 7: spin magnetization 0.0 Bohr magnetons per cell. Number 8: spin magnetization 0.4 Bohr magnetons per cell.